(1)
CaY5Al4: relaxed, PBE.

Cell and atoms, written as CIF:
```
data_CaY5Al4
_space_group_name_H-M_alt 'P 1'
_space_group_IT_number 1
_cell_length_a 3.587
_cell_length_b 3.587
_cell_length_c 20.312
_cell_angle_alpha 90.00
_cell_angle_beta 90.00
_cell_angle_gamma 90.00
loop_
_space_group_symop_operation_xyz
'x,y,z'
loop_
_atom_site_label
_atom_site_fract_x
_atom_site_fract_y
_atom_site_fract_z
Ca1 0.000 0.000 0.000
Y1 0.500 0.500 0.141
Y2 0.500 0.500 0.321
Y3 0.500 0.500 0.500
Y4 0.500 0.500 0.679
Y5 0.500 0.500 0.859
Al1 0.000 0.000 0.230
Al2 0.000 0.000 0.410
Al3 0.000 0.000 0.590
Al4 0.000 0.000 0.770
```

Output
electronic total energy: -5.249 eV per atom
magnetization: 0.0 μB/cell
volume: 26.13 Å³ per atom
space group: P4/mmm (123)
formation energy from the elements: -3.20 eV/f.u.

---

(2)
YMg2Br: relaxed, PBE.

Cell and atoms, written as CIF:
```
data_YMg2Br
_space_group_name_H-M_alt 'P 1'
_space_group_IT_number 1
_cell_length_a 5.597
_cell_length_b 3.479
_cell_length_c 5.802
_cell_angle_alpha 72.48
_cell_angle_beta 90.00
_cell_angle_gamma 90.00
loop_
_space_group_symop_operation_xyz
'x,y,z'
loop_
_atom_site_label
_atom_site_fract_x
_atom_site_fract_y
_atom_site_fract_z
Br1 0.500 0.750 0.750
Mg1 0.000 0.884 0.989
Mg2 0.000 0.616 0.511
Y1 0.500 0.250 0.250
```

Output
electronic total energy: -3.119 eV per atom
magnetization: 0.0 μB/cell
volume: 26.94 Å³ per atom
energy above the lowest structure with this stoichiometry: 142 meV/atom
space group: P2/m (10)
raw formation energy: -1.15 eV/f.u.

---

(3)
Li2Ge2Ru: relaxed, PBE.

Cell and atoms, written as CIF:
```
data_Li2Ge2Ru
_space_group_name_H-M_alt 'P 1'
_space_group_IT_number 1
_cell_length_a 6.400
_cell_length_b 5.769
_cell_length_c 8.756
_cell_angle_alpha 90.01
_cell_angle_beta 90.00
_cell_angle_gamma 90.00
loop_
_space_group_symop_operation_xyz
'x,y,z'
loop_
_atom_site_label
_atom_site_fract_x
_atom_site_fract_y
_atom_site_fract_z
Li1 0.750 0.500 0.984
Li2 0.750 0.000 0.984
Li3 0.250 0.000 0.016
Li4 0.250 0.500 0.016
Li5 0.416 0.249 0.754
Li6 0.084 0.749 0.754
Li7 0.916 0.251 0.246
Li8 0.584 0.751 0.246
Ge1 0.988 0.250 0.822
Ge2 0.512 0.750 0.822
Ge3 0.488 0.250 0.178
Ge4 0.012 0.750 0.178
Ge5 0.566 0.250 0.456
Ge6 0.934 0.750 0.456
Ge7 0.066 0.250 0.544
Ge8 0.434 0.750 0.544
Ru1 0.750 0.500 0.637
Ru2 0.250 0.500 0.363
Ru3 0.750 0.000 0.637
Ru4 0.250 0.000 0.363
```

Output
electronic total energy: -4.706 eV per atom
magnetization: 0.0 μB/cell
volume: 16.16 Å³ per atom
energy above the lowest structure with this stoichiometry: 0 meV/atom
space group: P2_1/c (14)
formation energy from the elements: -1.19 eV/f.u.

---

(4)
Y3AlGe2: relaxed, PBE.

Cell and atoms, written as CIF:
```
data_Y3AlGe2
_space_group_name_H-M_alt 'P 1'
_space_group_IT_number 1
_cell_length_a 4.196
_cell_length_b 11.668
_cell_length_c 11.620
_cell_angle_alpha 90.00
_cell_angle_beta 90.00
_cell_angle_gamma 90.00
loop_
_space_group_symop_operation_xyz
'x,y,z'
loop_
_atom_site_label
_atom_site_fract_x
_atom_site_fract_y
_atom_site_fract_z
Y1 0.250 0.381 0.057
Y2 0.750 0.619 0.943
Y3 0.750 0.881 0.443
Y4 0.250 0.119 0.557
Y5 0.250 0.700 0.201
Y6 0.750 0.300 0.799
Y7 0.750 0.200 0.299
Y8 0.250 0.800 0.701
Y9 0.250 0.438 0.375
Y10 0.750 0.562 0.625
Y11 0.750 0.938 0.125
Y12 0.250 0.062 0.875
Al1 0.250 0.132 0.134
Al2 0.750 0.868 0.866
Al3 0.750 0.632 0.366
Al4 0.250 0.368 0.634
Ge1 0.250 0.686 0.479
Ge2 0.750 0.314 0.521
Ge3 0.750 0.186 0.021
Ge4 0.250 0.814 0.979
Ge5 0.250 0.004 0.313
Ge6 0.750 0.996 0.687
Ge7 0.750 0.504 0.187
Ge8 0.250 0.496 0.813
```

Output
electronic total energy: -6.130 eV per atom
magnetization: 0.0 μB/cell
volume: 23.71 Å³ per atom
space group: Pnma (62)
formation energy from the elements: -4.41 eV/f.u.

---

(5)
LaY2RuO8: relaxed, PBE.

Cell and atoms, written as CIF:
```
data_LaY2RuO8
_space_group_name_H-M_alt 'P 1'
_space_group_IT_number 1
_cell_length_a 5.082
_cell_length_b 5.072
_cell_length_c 6.946
_cell_angle_alpha 90.00
_cell_angle_beta 90.00
_cell_angle_gamma 89.82
loop_
_space_group_symop_operation_xyz
'x,y,z'
loop_
_atom_site_label
_atom_site_fract_x
_atom_site_fract_y
_atom_site_fract_z
La1 0.000 0.000 0.500
Y1 0.500 0.500 0.751
Y2 0.500 0.500 0.249
Ru1 0.000 0.000 0.000
O1 0.184 0.814 0.200
O2 0.732 0.733 0.000
O3 0.816 0.186 0.200
O4 0.816 0.186 0.800
O5 0.268 0.267 0.000
O6 0.184 0.814 0.800
O7 0.683 0.685 0.500
O8 0.317 0.315 0.500
```

Output
electronic total energy: -7.938 eV per atom
magnetization: 1.1 μB/cell
volume: 14.92 Å³ per atom
space group: P2/m (10)
raw formation energy: -28.46 eV/f.u.

---

(6)
Cr2CoSb: relaxed, PBE.

Cell and atoms, written as CIF:
```
data_Cr2CoSb
_space_group_name_H-M_alt 'P 1'
_space_group_IT_number 1
_cell_length_a 6.873
_cell_length_b 6.873
_cell_length_c 5.510
_cell_angle_alpha 51.41
_cell_angle_beta 51.41
_cell_angle_gamma 90.00
loop_
_space_group_symop_operation_xyz
'x,y,z'
loop_
_atom_site_label
_atom_site_fract_x
_atom_site_fract_y
_atom_site_fract_z
Sb1 0.000 0.000 0.000
Sb2 0.750 0.250 0.500
Co1 0.500 0.500 0.000
Co2 0.250 0.750 0.500
Cr1 0.574 0.125 0.250
Cr2 0.176 0.625 0.250
Cr3 0.375 0.426 0.750
Cr4 0.875 0.824 0.750
```

Output
electronic total energy: -6.998 eV per atom
magnetization: 6.6 μB/cell
volume: 15.33 Å³ per atom
space group: I-42d (122)
raw formation energy: 2.48 eV/f.u.

---

(7)
In2AgSe3I: relaxed, PBE.

Cell and atoms, written as CIF:
```
data_In2AgSe3I
_space_group_name_H-M_alt 'P 1'
_space_group_IT_number 1
_cell_length_a 7.411
_cell_length_b 7.411
_cell_length_c 7.676
_cell_angle_alpha 80.79
_cell_angle_beta 80.79
_cell_angle_gamma 33.07
loop_
_space_group_symop_operation_xyz
'x,y,z'
loop_
_atom_site_label
_atom_site_fract_x
_atom_site_fract_y
_atom_site_fract_z
In1 0.566 0.566 0.827
In2 0.810 0.810 0.060
Ag1 0.306 0.306 0.538
Se1 0.002 0.002 0.026
Se2 0.240 0.240 0.239
Se3 0.752 0.752 0.750
I1 0.511 0.511 0.497
```

Output
electronic total energy: -3.360 eV per atom
magnetization: 0.0 μB/cell
volume: 32.41 Å³ per atom
energy above the lowest structure with this stoichiometry: 0 meV/atom
space group: Cm (8)
raw formation energy: -3.19 eV/f.u.

---

(8)
PmSbPdO6: relaxed, PBE.

Cell and atoms, written as CIF:
```
data_PmSbPdO6
_space_group_name_H-M_alt 'P 1'
_space_group_IT_number 1
_cell_length_a 5.279
_cell_length_b 5.279
_cell_length_c 10.178
_cell_angle_alpha 90.00
_cell_angle_beta 90.00
_cell_angle_gamma 120.00
loop_
_space_group_symop_operation_xyz
'x,y,z'
loop_
_atom_site_label
_atom_site_fract_x
_atom_site_fract_y
_atom_site_fract_z
Pm1 0.000 0.000 0.000
Pm2 0.000 0.000 0.500
Sb1 0.667 0.333 0.250
Sb2 0.333 0.667 0.750
Pd1 0.333 0.667 0.250
Pd2 0.667 0.333 0.750
O1 0.639 0.637 0.141
O2 0.998 0.361 0.141
O3 0.361 0.998 0.641
O4 0.002 0.639 0.859
O5 0.363 0.361 0.359
O6 0.998 0.637 0.359
O7 0.637 0.998 0.859
O8 0.639 0.002 0.359
O9 0.002 0.363 0.641
O10 0.363 0.002 0.141
O11 0.637 0.639 0.641
O12 0.361 0.363 0.859
```

Output
electronic total energy: -6.565 eV per atom
magnetization: 0.0 μB/cell
volume: 13.65 Å³ per atom
space group: P-31c (163)
raw formation energy: -15.27 eV/f.u.

---

(9)
Na3MgTl4: relaxed, PBE.

Cell and atoms, written as CIF:
```
data_Na3MgTl4
_space_group_name_H-M_alt 'P 1'
_space_group_IT_number 1
_cell_length_a 5.384
_cell_length_b 5.384
_cell_length_c 8.397
_cell_angle_alpha 108.59
_cell_angle_beta 108.57
_cell_angle_gamma 90.43
loop_
_space_group_symop_operation_xyz
'x,y,z'
loop_
_atom_site_label
_atom_site_fract_x
_atom_site_fract_y
_atom_site_fract_z
Na1 0.000 0.500 0.000
Na2 0.747 0.247 0.494
Na3 0.253 0.753 0.506
Mg1 0.500 0.000 0.000
Tl1 0.380 0.381 0.762
Tl2 0.620 0.619 0.238
Tl3 0.119 0.120 0.238
Tl4 0.881 0.880 0.762
```

Output
electronic total energy: -1.978 eV per atom
magnetization: 0.0 μB/cell
volume: 27.14 Å³ per atom
energy above the lowest structure with this stoichiometry: 0 meV/atom
space group: Fmmm (69)
formation energy from the elements: -0.80 eV/f.u.

---

(10)
UGe2Cl8: relaxed, PBE.

Cell and atoms, written as CIF:
```
data_UGe2Cl8
_space_group_name_H-M_alt 'P 1'
_space_group_IT_number 1
_cell_length_a 7.169
_cell_length_b 7.548
_cell_length_c 7.548
_cell_angle_alpha 82.82
_cell_angle_beta 102.63
_cell_angle_gamma 102.63
loop_
_space_group_symop_operation_xyz
'x,y,z'
loop_
_atom_site_label
_atom_site_fract_x
_atom_site_fract_y
_atom_site_fract_z
U1 0.000 0.000 0.000
Ge1 0.575 0.693 0.693
Ge2 0.425 0.307 0.307
Cl1 0.236 0.333 0.985
Cl2 0.764 0.015 0.667
Cl3 0.237 0.873 0.873
Cl4 0.763 0.127 0.127
Cl5 0.236 0.985 0.333
Cl6 0.764 0.667 0.015
Cl7 0.769 0.568 0.568
Cl8 0.231 0.432 0.432
```

Output
electronic total energy: -4.402 eV per atom
magnetization: 2.0 μB/cell
volume: 35.24 Å³ per atom
energy above the lowest structure with this stoichiometry: 0 meV/atom
space group: C2/m (12)
raw formation energy: -13.13 eV/f.u.

---

(11)
ScMnMoPt2: relaxed, PBE.

Cell and atoms, written as CIF:
```
data_ScMnMoPt2
_space_group_name_H-M_alt 'P 1'
_space_group_IT_number 1
_cell_length_a 4.900
_cell_length_b 4.383
_cell_length_c 4.900
_cell_angle_alpha 90.00
_cell_angle_beta 90.00
_cell_angle_gamma 90.00
loop_
_space_group_symop_operation_xyz
'x,y,z'
loop_
_atom_site_label
_atom_site_fract_x
_atom_site_fract_y
_atom_site_fract_z
Sc1 0.500 0.500 0.500
Mo1 0.000 0.000 0.000
Mn1 0.000 0.500 0.000
Pt1 0.000 0.000 0.500
Pt2 0.500 0.000 0.000
```

Output
electronic total energy: -7.149 eV per atom
magnetization: 2.5 μB/cell
volume: 21.05 Å³ per atom
space group: P4/mmm (123)
formation energy from the elements: 2.67 eV/f.u.